Record 1
DFT (GGA-PBE) results for a relaxed structure of HfTi4Nb.

Results
Crystal system   cubic
Excess energy over the best structure of this formula in the dataset   0.1312 eV per atom

Geometry as CIF:
```
data_HfTi4Nb
_chemical_formula_sum 'Hf4 Ti16 Nb4'
_cell_length_a 7.622
_cell_length_b 7.622
_cell_length_c 7.622
_cell_angle_alpha 90.00
_cell_angle_beta 90.00
_cell_angle_gamma 90.00
_space_group_name_H-M_alt 'F -4 3 m'
_space_group_IT_number 216
_space_group_name_Hall 'F -4 2 3'
loop_
_atom_site_label
_atom_site_fract_x
_atom_site_fract_y
_atom_site_fract_z
Hf1 0.000 0.000 0.000
Ti1 0.124 0.124 0.624
Nb1 0.250 0.250 0.250
```

=====

Record 2
DFT (GGA-PBE) results for a relaxed structure of Hf2TiNb.

Results
Crystal system   monoclinic
Excess energy over the best structure of this formula in the dataset   0.0115 eV per atom

Geometry as CIF:
```
data_Hf2TiNb
_chemical_formula_sum 'Hf4 Ti2 Nb2'
_cell_length_a 8.097
_cell_length_b 4.759
_cell_length_c 5.018
_cell_angle_alpha 90.00
_cell_angle_beta 123.04
_cell_angle_gamma 90.00
_space_group_name_H-M_alt 'C 1 m 1'
_space_group_IT_number 8
_space_group_name_Hall 'C -2y'
loop_
_atom_site_label
_atom_site_fract_x
_atom_site_fract_y
_atom_site_fract_z
Hf1 0.000 0.000 0.000
Hf2 0.232 0.000 0.689
Ti1 0.259 0.500 0.279
Nb1 0.473 0.000 0.412
```

=====

Record 3
DFT (GGA-PBE) results for a relaxed structure of Hf2TiNb.

Results
Crystal system   trigonal
Excess energy over the best structure of this formula in the dataset   0.0572 eV per atom

Geometry as CIF:
```
data_Hf2TiNb
_chemical_formula_sum 'Hf6 Ti3 Nb3'
_cell_length_a 3.0679
_cell_length_b 3.0679
_cell_length_c 29.7254
_cell_angle_alpha 90.00
_cell_angle_beta 90.00
_cell_angle_gamma 120.00
_space_group_name_H-M_alt 'R -3 m'
_space_group_IT_number 166
_space_group_name_Hall '-R 3 2"'
loop_
_atom_site_label
_atom_site_fract_x
_atom_site_fract_y
_atom_site_fract_z
Hf1 0.0000 0.0000 0.2489
Ti1 0.0000 0.0000 0.5000
Nb1 0.0000 0.0000 0.0000
```

=====

Record 4
DFT (GGA-PBE) results for a relaxed structure of Hf2TiNb.

Results
Crystal system   tetragonal
Excess energy over the best structure of this formula in the dataset   0.0000 eV per atom

Geometry as CIF:
```
data_Hf2TiNb
_chemical_formula_sum 'Hf2 Ti1 Nb1'
_cell_length_a 3.442
_cell_length_b 3.442
_cell_length_c 6.694
_cell_angle_alpha 90.00
_cell_angle_beta 90.00
_cell_angle_gamma 90.00
_space_group_name_H-M_alt 'P 4/m m m'
_space_group_IT_number 123
_space_group_name_Hall '-P 4 2'
loop_
_atom_site_label
_atom_site_fract_x
_atom_site_fract_y
_atom_site_fract_z
Hf1 0.000 0.000 0.246
Ti1 0.500 0.500 0.500
Nb1 0.500 0.500 0.000
```

=====

Record 5
DFT (GGA-PBE) results for a relaxed structure of HfTiNb.

Results
Crystal system   monoclinic
Excess energy over the best structure of this formula in the dataset   0.0292 eV per atom

Geometry as CIF:
```
data_HfTiNb
_chemical_formula_sum 'Hf2 Ti2 Nb2'
_cell_length_a 2.973
_cell_length_b 4.730
_cell_length_c 8.200
_cell_angle_alpha 90.00
_cell_angle_beta 91.01
_cell_angle_gamma 90.00
_space_group_name_H-M_alt 'P 1 m 1'
_space_group_IT_number 6
_space_group_name_Hall 'P -2y'
loop_
_atom_site_label
_atom_site_fract_x
_atom_site_fract_y
_atom_site_fract_z
Hf1 0.000 0.000 0.000
Hf2 0.454 0.500 0.816
Ti1 0.025 0.500 0.484
Ti2 0.530 0.500 0.170
Nb1 0.431 0.000 0.334
Nb2 0.733 0.000 0.645
```

=====

Record 6
DFT (GGA-PBE) results for a relaxed structure of HfTi2Nb3.

Results
Crystal system   triclinic

Geometry as CIF:
```
data_HfTi2Nb3
_chemical_formula_sum 'Hf2 Ti4 Nb6'
_cell_length_a 5.466
_cell_length_b 5.820
_cell_length_c 7.408
_cell_angle_alpha 104.62
_cell_angle_beta 95.94
_cell_angle_gamma 100.03
_space_group_name_H-M_alt 'P -1'
_space_group_IT_number 2
_space_group_name_Hall '-P 1'
loop_
_atom_site_label
_atom_site_fract_x
_atom_site_fract_y
_atom_site_fract_z
Hf1 0.091 0.118 0.338
Ti1 0.252 0.858 0.981
Ti2 0.441 0.130 0.681
Nb1 0.071 0.611 0.312
Nb2 0.261 0.370 0.005
Nb3 0.402 0.616 0.652
```

=====

Record 7
DFT (GGA-PBE) results for a relaxed structure of HfTiNb14.

Results
Crystal system   orthorhombic

Geometry as CIF:
```
data_HfTiNb14
_chemical_formula_sum 'Hf2 Ti2 Nb28'
_cell_length_a 6.619
_cell_length_b 9.518
_cell_length_c 9.331
_cell_angle_alpha 90.00
_cell_angle_beta 90.00
_cell_angle_gamma 90.00
_space_group_name_H-M_alt 'C m m m'
_space_group_IT_number 65
_space_group_name_Hall '-C 2 2'
loop_
_atom_site_label
_atom_site_fract_x
_atom_site_fract_y
_atom_site_fract_z
Hf1 0.000 0.000 0.000
Ti1 0.000 0.500 0.000
Nb1 0.000 0.000 0.500
Nb2 0.000 0.250 0.246
Nb3 0.000 0.500 0.500
Nb4 0.247 0.500 0.258
Nb5 0.250 0.250 0.000
Nb6 0.250 0.250 0.500
```

=====

Record 8
DFT (GGA-PBE) results for a relaxed structure of HfTi6Nb2.

Results
Crystal system   monoclinic

Geometry as CIF:
```
data_HfTi6Nb2
_chemical_formula_sum 'Hf4 Ti24 Nb8'
_cell_length_a 13.421
_cell_length_b 9.736
_cell_length_c 5.027
_cell_angle_alpha 90.00
_cell_angle_beta 98.99
_cell_angle_gamma 90.00
_space_group_name_H-M_alt 'C 1 2/c 1'
_space_group_IT_number 15
_space_group_name_Hall '-C 2yc'
loop_
_atom_site_label
_atom_site_fract_x
_atom_site_fract_y
_atom_site_fract_z
Hf1 0.000 0.118 0.250
Ti1 0.055 0.378 0.530
Ti2 0.121 0.133 0.808
Ti3 0.228 0.123 0.353
Nb1 0.164 0.374 0.089
```

=====

Calculated DOS at the Fermi energy in order - 15.3, 4.4, 6.8, 7.3, 4.2, 9.3, 28.8, 17.4 states/eV/f.u.
Calculated E_tot in order - -8.404, -9.353, -9.308, -9.365, -9.248, -9.298, -9.919, -8.503 eV/atom